DFT (GGA-PBE) results for a relaxed Ba2RuAu crystal.

The space group is R3m (No. 160, hexagonal axes) and the conventional cell measures 4.5828, 4.5828 and 25.5844 Å, with angles of 90.00, 90.00 and 120.00 degrees. The distinct sites, in fractional coordinates, are Ba at (0.0000, 0.0000, 0.0000), Ba at (0.0000, 0.0000, 0.1632), Ru at (0.0000, 0.0000, 0.4148) and Au at (0.0000, 0.0000, 0.7483).

The formation energy is -0.056 eV/atom. Its crystal system is trigonal. The value obtained for the density of states at the Fermi level is 8.12 states/eV/cell. The value obtained for the uncorrected energy is -4.1552 eV/atom.

***

DFT (GGA-PBE) results for a relaxed BaRuAu2 crystal.

The space group is Pmm2 (No. 25) and the conventional cell measures 3.9027, 3.9446 and 6.6585 Å, with angles of 90.00, 90.00 and 90.00 degrees. The distinct sites, in fractional coordinates, are Ba at (0.0000, 0.0000, 0.0000), Ru at (0.0000, 0.5000, 0.5516), Au at (0.5000, 0.0000, 0.5957) and Au at (0.5000, 0.5000, 0.2661).

The formation energy is 0.219 eV/atom. Its crystal system is orthorhombic. The value obtained for the relative energy among the computed polymorphs is 1.08 eV/f.u. The value obtained for the density of states at the Fermi level is 4.51 states/eV/cell. The value obtained for the uncorrected energy is -4.2193 eV/atom.

***

DFT (GGA-PBE) results for a relaxed BaRu4Au crystal.

The space group is F-43m (No. 216) and the conventional cell measures 7.6705, 7.6705 and 7.6705 Å, with angles of 90.00, 90.00 and 90.00 degrees. The distinct sites, in fractional coordinates, are Ba at (0.0000, 0.0000, 0.0000), Ru at (0.1238, 0.1238, 0.6238) and Au at (0.2500, 0.2500, 0.2500).

The formation energy is 0.729 eV/atom. Its crystal system is cubic. The value obtained for the density of states at the Fermi level is 31.54 states/eV/cell. The value obtained for the uncorrected energy is -6.3218 eV/atom.